A) Entry from the Alexandria database: a relaxed NaDyHg crystal (PBE).

CIF file:
```
data_NaDyHg
_chemical_formula_sum 'Na6 Dy6 Hg6'
_symmetry_space_group_name_H-M 'R -3 m'
_symmetry_Int_Tables_number 166
_symmetry_space_group_name_Hall '-R 3 2"'
_cell_length_a 5.0169
_cell_length_b 5.0169
_cell_length_c 26.2514
_cell_angle_alpha 90.00
_cell_angle_beta 90.00
_cell_angle_gamma 120.00
loop_
_atom_site_label
_atom_site_type_symbol
_atom_site_fract_x
_atom_site_fract_y
_atom_site_fract_z
_atom_site_occupancy
Na1 Na 0.0000 0.0000 0.1326 1
Dy1 Dy 0.0000 0.0000 0.3751 1
Hg1 Hg 0.0000 0.0000 0.2582 1
```

D(E_F): 3.54 states/eV/f.u.
spin magnetization: 0.00 μB per formula unit

B) Entry from the Alexandria database: a relaxed NaDyHg crystal (PBE).

CIF file:
```
data_NaDyHg
_chemical_formula_sum 'Na2 Dy2 Hg2'
_symmetry_space_group_name_H-M 'I 4 m m'
_symmetry_Int_Tables_number 107
_symmetry_space_group_name_Hall 'I 4 -2'
_cell_length_a 3.697
_cell_length_b 3.697
_cell_length_c 13.118
_cell_angle_alpha 90.00
_cell_angle_beta 90.00
_cell_angle_gamma 90.00
loop_
_atom_site_label
_atom_site_type_symbol
_atom_site_fract_x
_atom_site_fract_y
_atom_site_fract_z
_atom_site_occupancy
Na1 Na 0.000 0.000 0.000 1
Dy1 Dy 0.000 0.000 0.280 1
Hg1 Hg 0.000 0.000 0.659 1
```

D(E_F): 1.93 states/eV/f.u.
spin magnetization: 0.13 μB per formula unit

Of them, A) has the lowest stability.

A) Entry from the Alexandria database: a relaxed NaDy2Hg6 crystal (PBE).

CIF file:
```
data_NaDy2Hg6
_chemical_formula_sum 'Na2 Dy4 Hg12'
_symmetry_space_group_name_H-M 'C 1 2/m 1'
_symmetry_Int_Tables_number 12
_symmetry_space_group_name_Hall '-C 2y'
_cell_length_a 11.192
_cell_length_b 8.145
_cell_length_c 4.989
_cell_angle_alpha 90.00
_cell_angle_beta 91.00
_cell_angle_gamma 90.00
loop_
_atom_site_label
_atom_site_type_symbol
_atom_site_fract_x
_atom_site_fract_y
_atom_site_fract_z
_atom_site_occupancy
Na1 Na 0.000 0.000 0.000 1
Dy1 Dy 0.248 0.000 0.488 1
Hg1 Hg 0.000 0.209 0.500 1
Hg2 Hg 0.134 0.323 0.011 1
```

D(E_F): 5.14 states/eV/f.u.
spin magnetization: 0.00 μB per formula unit

B) Entry from the Alexandria database: a relaxed NaDy2Hg6 crystal (PBE).

CIF file:
```
data_NaDy2Hg6
_chemical_formula_sum 'Na1 Dy2 Hg6'
_symmetry_space_group_name_H-M 'P 6/m m m'
_symmetry_Int_Tables_number 191
_symmetry_space_group_name_Hall '-P 6 2'
_cell_length_a 8.6738
_cell_length_b 8.6738
_cell_length_c 3.3595
_cell_angle_alpha 90.00
_cell_angle_beta 90.00
_cell_angle_gamma 120.00
loop_
_atom_site_label
_atom_site_type_symbol
_atom_site_fract_x
_atom_site_fract_y
_atom_site_fract_z
_atom_site_occupancy
Na1 Na 0.0000 0.0000 0.0000 1
Dy1 Dy 0.3333 0.6667 0.0000 1
Hg1 Hg 0.0000 0.3324 0.5000 1
```

D(E_F): 4.82 states/eV/f.u.
spin magnetization: 0.00 μB per formula unit

Of them, A) has the lowest stability.

A) Entry from the Alexandria database: a relaxed NaDyHg4 crystal (PBE).

CIF file:
```
data_NaDyHg4
_chemical_formula_sum 'Na4 Dy4 Hg16'
_symmetry_space_group_name_H-M 'F -4 3 m'
_symmetry_Int_Tables_number 216
_symmetry_space_group_name_Hall 'F -4 2 3'
_cell_length_a 8.454
_cell_length_b 8.454
_cell_length_c 8.454
_cell_angle_alpha 90.00
_cell_angle_beta 90.00
_cell_angle_gamma 90.00
loop_
_atom_site_label
_atom_site_type_symbol
_atom_site_fract_x
_atom_site_fract_y
_atom_site_fract_z
_atom_site_occupancy
Na1 Na 0.000 0.000 0.000 1
Dy1 Dy 0.250 0.250 0.750 1
Hg1 Hg 0.125 0.125 0.375 1
```

D(E_F): 2.92 states/eV/f.u.
spin magnetization: 0.00 μB per formula unit

B) Entry from the Alexandria database: a relaxed NaDyHg4 crystal (PBE).

CIF file:
```
data_NaDyHg4
_chemical_formula_sum 'Na2 Dy2 Hg8'
_symmetry_space_group_name_H-M 'C 1 2/m 1'
_symmetry_Int_Tables_number 12
_symmetry_space_group_name_Hall '-C 2y'
_cell_length_a 10.501
_cell_length_b 3.860
_cell_length_c 7.861
_cell_angle_alpha 90.00
_cell_angle_beta 112.30
_cell_angle_gamma 90.00
loop_
_atom_site_label
_atom_site_type_symbol
_atom_site_fract_x
_atom_site_fract_y
_atom_site_fract_z
_atom_site_occupancy
Na1 Na 0.000 0.000 0.000 1
Dy1 Dy 0.000 0.000 0.500 1
Hg1 Hg 0.165 0.500 0.334 1
Hg2 Hg 0.170 0.500 0.833 1
```

D(E_F): 1.88 states/eV/f.u.
spin magnetization: 0.00 μB per formula unit

Of them, A) has the lowest stability.

A) Entry from the Alexandria database: a relaxed NaDy2Hg crystal (PBE).

CIF file:
```
data_NaDy2Hg
_chemical_formula_sum 'Na1 Dy2 Hg1'
_symmetry_space_group_name_H-M 'P 4/m m m'
_symmetry_Int_Tables_number 123
_symmetry_space_group_name_Hall '-P 4 2'
_cell_length_a 5.233
_cell_length_b 5.233
_cell_length_c 3.953
_cell_angle_alpha 90.00
_cell_angle_beta 90.00
_cell_angle_gamma 90.00
loop_
_atom_site_label
_atom_site_type_symbol
_atom_site_fract_x
_atom_site_fract_y
_atom_site_fract_z
_atom_site_occupancy
Na1 Na 0.000 0.000 0.000 1
Dy1 Dy 0.000 0.500 0.500 1
Hg1 Hg 0.500 0.500 0.000 1
```

D(E_F): 3.07 states/eV/f.u.
spin magnetization: 0.00 μB per formula unit

B) Entry from the Alexandria database: a relaxed NaDy2Hg crystal (PBE).

CIF file:
```
data_NaDy2Hg
_chemical_formula_sum 'Na3 Dy6 Hg3'
_symmetry_space_group_name_H-M 'R -3 m'
_symmetry_Int_Tables_number 166
_symmetry_space_group_name_Hall '-R 3 2"'
_cell_length_a 3.5383
_cell_length_b 3.5383
_cell_length_c 35.5265
_cell_angle_alpha 90.00
_cell_angle_beta 90.00
_cell_angle_gamma 120.00
loop_
_atom_site_label
_atom_site_type_symbol
_atom_site_fract_x
_atom_site_fract_y
_atom_site_fract_z
_atom_site_occupancy
Na1 Na 0.0000 0.0000 0.0000 1
Dy1 Dy 0.0000 0.0000 0.0991 1
Hg1 Hg 0.0000 0.0000 0.5000 1
```

D(E_F): 4.78 states/eV/f.u.
spin magnetization: 0.00 μB per formula unit

Of them, B) has the lowest stability.